# 1
This record from Alexandria describes a relaxed structure of Hf6Au3N. The functional is GGA-PBE.

Results
Its crystal system is monoclinic. Its density of states at the Fermi level is 0.934 states/eV/atom. The size of the total moment is 0.00 μB per cell. The raw formation energy is -0.471 eV/atom.

The structure in extended XYZ format:
```
10
Lattice="5.0992 -2.9880 0.0000 5.0992 2.9880 0.0000 -1.9581 0.0000 6.4277" Properties=species:S:1:pos:R:3 pbc="T T T"
Hf 2.7657 1.5314 4.1119
Hf 0.1619 0.0000 5.3103
Hf 5.4745 1.5314 2.3158
Hf 2.7657 -1.5314 4.1119
Hf 8.0783 0.0000 1.1174
Hf 5.4745 -1.5314 2.3158
Au 2.8377 0.0000 1.6341
Au 5.0992 0.0000 0.0000
Au 5.4025 0.0000 4.7936
N -0.9791 0.0000 3.2138
```

***

# 2
This record from Alexandria describes a relaxed structure of CuSiTe2. The functional is GGA-PBE.

Results
Its crystal system is monoclinic. Its density of states at the Fermi level is 0.557 states/eV/atom. The size of the total moment is 0.00 μB per cell. The raw formation energy is 0.144 eV/atom.

The structure in extended XYZ format:
```
4
Lattice="7.1645 -1.9215 0.0000 7.1645 1.9215 0.0000 -0.0170 0.0000 3.8382" Properties=species:S:1:pos:R:3 pbc="T T T"
Cu 0.0000 0.0000 0.0000
Si 9.1933 0.0000 1.9304
Te 2.7392 0.0000 0.0145
Te 6.5882 0.0000 1.9160
```

***

# 3
This record from Alexandria describes a relaxed structure of AlFe2Ru. The functional is GGA-PBE.

Results
The formation energy comes out at -0.170 eV/atom. Its crystal system is orthorhombic. Its density of states at the Fermi level is 0.945 states/eV/atom. The size of the total moment is 5.26 μB per cell.

The structure in extended XYZ format:
```
4
Lattice="-1.5131 2.0875 4.0621 1.5131 -2.0875 4.0621 1.5131 2.0875 -4.0621" Properties=species:S:1:pos:R:3 pbc="T T T"
Al 0.0000 0.0000 0.0000
Fe 1.5131 0.0000 2.0612
Fe 0.0000 0.0000 3.9552
Ru 0.0000 2.0875 1.9550
```

***

# 4
This record from Alexandria describes a relaxed structure of HfNi6Au2. The functional is GGA-PBE.

Results
The formation energy comes out at 0.278 eV/atom. Its crystal system is cubic. Its density of states at the Fermi level is 0.563 states/eV/atom. The size of the total moment is 0.00 μB per cell.

The structure in extended XYZ format:
```
9
Lattice="0.0000 4.0247 4.0247 4.0247 0.0000 4.0247 4.0247 4.0247 0.0000" Properties=species:S:1:pos:R:3 pbc="T T T"
Hf 0.0000 0.0000 0.0000
Ni 4.0247 4.0247 2.3335
Ni 4.0247 2.3335 4.0247
Ni 5.7159 4.0247 4.0247
Ni 2.3335 4.0247 4.0247
Ni 4.0247 5.7159 4.0247
Ni 4.0247 4.0247 5.7159
Au 2.0124 2.0124 2.0124
Au 6.0371 6.0371 6.0371
```

***

# 5
This record from Alexandria describes a relaxed structure of KTlAg2Cl5. The functional is GGA-PBE.

Results
Its crystal system is tetragonal. Its density of states at the Fermi level is 0.203 states/eV/atom. The size of the total moment is 0.00 μB per cell. The raw formation energy is -0.892 eV/atom.

The structure in extended XYZ format:
```
9
Lattice="5.0404 0.0000 0.0000 0.0000 5.0404 0.0000 0.0000 0.0000 10.4022" Properties=species:S:1:pos:R:3 pbc="T T T"
K 0.0000 0.0000 0.0000
Tl 0.0000 0.0000 5.2011
Ag 2.5202 2.5202 2.7175
Ag 2.5202 2.5202 7.6847
Cl 0.0000 2.5202 3.0339
Cl 0.0000 2.5202 7.3683
Cl 2.5202 0.0000 3.0339
Cl 2.5202 0.0000 7.3683
Cl 2.5202 2.5202 0.0000
```

***

# 6
This record from Alexandria describes a relaxed structure of Cs2NaVI6. The functional is GGA-PBE.

Results
Its crystal system is trigonal. Its density of states at the Fermi level is 0.987 states/eV/atom. The size of the total moment is 2.00 μB per cell. The raw formation energy is -1.054 eV/atom.

The structure in extended XYZ format:
```
10
Lattice="8.3251 0.0000 0.0000 -4.1625 7.2097 0.0000 0.0000 0.0000 7.6101" Properties=species:S:1:pos:R:3 pbc="T T T"
Cs 0.0000 4.8065 1.5174
Cs 4.1625 2.4032 6.0928
Na 0.0000 0.0000 3.8051
V 0.0000 0.0000 0.0000
I 0.0000 2.2951 5.9901
I -2.1749 6.0622 5.9901
I 1.9876 1.1475 1.6200
I 2.1749 6.0622 5.9901
I 6.3375 1.1475 1.6200
I 4.1625 4.9146 1.6200
```

***

# 7
This record from Alexandria describes a relaxed structure of Cs2AlOs. The functional is GGA-PBE.

Results
The formation energy comes out at 1.701 eV/atom. Its crystal system is cubic. Its density of states at the Fermi level is 2.033 states/eV/atom. The calculation puts the energy relative to the lowest polymorph listed for this composition at 0.000 eV/atom. The size of the total moment is 1.36 μB per cell.

The structure in extended XYZ format:
```
4
Lattice="0.0000 4.1721 4.1721 4.1721 0.0000 4.1721 4.1721 4.1721 0.0000" Properties=species:S:1:pos:R:3 pbc="T T T"
Cs 2.0860 2.0860 2.0860
Cs 6.2581 6.2581 6.2581
Al 0.0000 0.0000 0.0000
Os 4.1721 4.1721 4.1721
```

***

# 8
This record from Alexandria describes a relaxed structure of Pr2GaPd. The functional is GGA-PBE.

Results
The formation energy comes out at -0.643 eV/atom. Its crystal system is monoclinic. Its density of states at the Fermi level is 0.870 states/eV/atom. The size of the total moment is 0.00 μB per cell.

The structure in extended XYZ format:
```
8
Lattice="6.1662 0.0000 0.0000 0.0000 4.5620 0.0000 -2.5776 0.0000 7.4074" Properties=species:S:1:pos:R:3 pbc="T T T"
Pr 0.0783 1.1405 3.0484
Pr 1.5937 3.4215 0.5278
Pr 1.9949 1.1405 6.8795
Pr 3.5103 3.4215 4.3590
Ga 0.4694 3.4215 5.1655
Ga 3.1192 1.1405 2.2419
Pd -1.0363 1.1405 5.8577
Pd 4.6249 3.4215 1.5497
```

***

# 9
This record from Alexandria describes a relaxed structure of PmPuPaTc. The functional is GGA-PBE.

Results
The formation energy comes out at 0.209 eV/atom. Its crystal system is cubic. Its density of states at the Fermi level is 2.090 states/eV/atom. The size of the total moment is 6.61 μB per cell.

The structure in extended XYZ format:
```
4
Lattice="0.0000 3.5690 3.5690 3.5690 0.0000 3.5690 3.5690 3.5690 0.0000" Properties=species:S:1:pos:R:3 pbc="T T T"
Pm 0.0000 0.0000 0.0000
Pu 5.3535 5.3535 5.3535
Pa 3.5690 3.5690 3.5690
Tc 1.7845 1.7845 1.7845
```

***

# 10
This record from Alexandria describes a relaxed structure of Zr2ZnBr. The functional is GGA-PBE.

Results
Its crystal system is cubic. Its density of states at the Fermi level is 1.201 states/eV/atom. The calculation puts the energy relative to the lowest polymorph listed for this composition at 0.768 eV/atom. The size of the total moment is 2.92 μB per cell. The raw formation energy is 0.463 eV/atom.

The structure in extended XYZ format:
```
4
Lattice="0.0000 3.5254 3.5254 3.5254 0.0000 3.5254 3.5254 3.5254 0.0000" Properties=species:S:1:pos:R:3 pbc="T T T"
Zr 0.0000 0.0000 0.0000
Zr 1.7627 1.7627 1.7627
Zn 5.2881 5.2881 5.2881
Br 3.5254 3.5254 3.5254
```

***

# 11
This record from Alexandria describes a relaxed structure of Tm3Si4Pd. The functional is GGA-PBE.

Results
Its crystal system is orthorhombic. Its density of states at the Fermi level is 0.374 states/eV/atom. The size of the total moment is 0.00 μB per cell. The raw formation energy is -0.631 eV/atom.

The structure in extended XYZ format:
```
8
Lattice="-2.0873 2.8227 7.2420 2.0873 -2.8227 7.2420 2.0873 2.8227 -7.2420" Properties=species:S:1:pos:R:3 pbc="T T T"
Tm 0.0000 0.0000 0.0000
Tm 2.0873 0.0000 4.4340
Tm 0.0000 2.8227 2.8080
Si 2.0873 1.1665 -1.7672
Si 2.0873 1.1665 1.7672
Si 0.0000 1.6562 5.4747
Si 0.0000 1.6562 9.0092
Pd 0.0000 0.0000 7.2420
```

***

# 12
This record from Alexandria describes a relaxed structure of Rb3Li2CeF9. The functional is GGA-PBE.

Results
Its crystal system is trigonal. The size of the total moment is 0.02 μB per cell. The raw formation energy is -3.126 eV/atom.

The structure in extended XYZ format:
```
15
Lattice="6.0756 0.0000 0.0000 -3.0378 5.2617 0.0000 0.0000 0.0000 7.9761" Properties=species:S:1:pos:R:3 pbc="T T T"
Rb 0.0000 0.0000 0.0000
Rb 0.0000 3.5078 5.7660
Rb 3.0378 1.7539 2.2101
Li 0.0000 3.5078 0.8543
Li 3.0378 1.7539 7.1218
Ce 0.0000 0.0000 3.9880
F -1.5189 2.6308 0.0000
F 0.0000 1.7348 2.6846
F -1.5354 4.3943 2.6846
F 1.5024 0.8674 5.2915
F 3.0378 0.0000 0.0000
F 1.5189 2.6308 0.0000
F 1.5354 4.3943 2.6846
F 4.5733 0.8674 5.2915
F 3.0378 3.5269 5.2915
```

***

Question: Look up the size of the total moment of the tenth one.
Answer: 2.92 μB per cell

***

Question: The highest size of the total moment belongs to which entry?
Answer: PmPuPaTc

***

Question: Look up the size of the total moment of the ninth one.
Answer: 6.61 μB per cell